No. 1
Entry from the Alexandria database: an optimized crystal structure of InSI (GGA-PBE). Values from VASP.

Raw formation energy: -0.510 eV per atom
Symmetry: No. 2

Structure (Quantum ESPRESSO input):
```
&SYSTEM
  ibrav = 0, nat = 6, ntyp = 3
/
ATOMIC_SPECIES
S 32.06 S.upf
I 126.90 I.upf
In 114.82 In.upf
ATOMIC_POSITIONS angstrom
S -0.708 2.002 6.559
S -3.029 -3.121 2.725
I -1.020 -1.716 8.358
I -2.717 0.597 0.926
In -2.981 3.066 6.281
In -0.756 -4.185 3.003
CELL_PARAMETERS angstrom
-3.822 -0.444 -1.582
0.861 -5.809 5.021
-0.776 5.134 5.846
```

---

No. 2
Entry from the Alexandria database: an optimized crystal structure of In2S2I (GGA-PBE). Values from VASP.

Raw formation energy: -0.409 eV per atom
Symmetry: No. 139

Structure (Quantum ESPRESSO input):
```
&SYSTEM
  ibrav = 0, nat = 5, ntyp = 3
/
ATOMIC_SPECIES
In 114.82 In.upf
I 126.90 I.upf
S 32.06 S.upf
ATOMIC_POSITIONS angstrom
In 0.888 -2.679 -0.707
In 0.811 -4.858 -4.008
I 0.000 0.000 0.000
S 1.695 -5.116 -1.350
S 0.003 -2.421 -3.365
CELL_PARAMETERS angstrom
-3.437 -0.640 -1.888
1.583 1.411 -3.360
3.552 -8.308 0.534
```

---

No. 3
Entry from the Alexandria database: an optimized crystal structure of In2S8I (GGA-PBE). Values from VASP.

Raw formation energy: -0.085 eV per atom
Symmetry: No. 2

Structure (Quantum ESPRESSO input):
```
&SYSTEM
  ibrav = 0, nat = 11, ntyp = 3
/
ATOMIC_SPECIES
S 32.06 S.upf
In 114.82 In.upf
I 126.90 I.upf
ATOMIC_POSITIONS angstrom
S -6.167 -2.541 -1.581
S -4.550 -1.524 -2.327
S -2.768 -0.323 5.618
S -0.634 -0.683 8.572
S -1.151 0.694 4.872
S -1.793 -2.583 3.595
S -6.684 -1.164 -5.280
S -5.525 0.735 -0.303
In -7.732 -0.507 -0.535
In 0.414 -1.341 3.826
I 0.000 0.000 0.000
CELL_PARAMETERS angstrom
-4.672 2.934 2.740
-8.149 -1.595 -7.482
5.504 -3.186 8.033
```

---

No. 4
Entry from the Alexandria database: an optimized crystal structure of InSbSI2 (GGA-PBE). Values from VASP.

Raw formation energy: 0.630 eV per atom
Symmetry: No. 123

Structure (Quantum ESPRESSO input):
```
&SYSTEM
  ibrav = 0, nat = 5, ntyp = 4
/
ATOMIC_SPECIES
I 126.90 I.upf
Sb 121.76 Sb.upf
S 32.06 S.upf
In 114.82 In.upf
ATOMIC_POSITIONS angstrom
I 0.000 2.894 0.000
I 2.894 0.000 0.000
Sb 0.000 0.000 3.000
S 2.894 2.894 3.000
In 0.000 0.000 0.000
CELL_PARAMETERS angstrom
5.787 0.000 0.000
0.000 5.787 0.000
0.000 0.000 6.000
```

---

No. 5
Entry from the Alexandria database: an optimized crystal structure of InSb2SI (GGA-PBE). Values from VASP.

Raw formation energy: 0.395 eV per atom
Symmetry: No. 123

Structure (Quantum ESPRESSO input):
```
&SYSTEM
  ibrav = 0, nat = 5, ntyp = 4
/
ATOMIC_SPECIES
Sb 121.76 Sb.upf
In 114.82 In.upf
S 32.06 S.upf
I 126.90 I.upf
ATOMIC_POSITIONS angstrom
Sb -1.241 0.692 -2.237
Sb 0.222 -2.486 -0.892
In -3.526 -2.444 -1.941
S 0.000 0.000 0.000
I -2.507 -0.650 1.189
CELL_PARAMETERS angstrom
-2.482 1.385 -4.475
0.444 -4.972 -1.785
-5.013 -1.301 2.378
```

---

No. 6
Entry from the Alexandria database: an optimized crystal structure of InSb2SI (GGA-PBE). Values from VASP.

Raw formation energy: 0.886 eV per atom
Symmetry: No. 123

Structure (Quantum ESPRESSO input):
```
&SYSTEM
  ibrav = 0, nat = 5, ntyp = 4
/
ATOMIC_SPECIES
Sb 121.76 Sb.upf
S 32.06 S.upf
In 114.82 In.upf
I 126.90 I.upf
ATOMIC_POSITIONS angstrom
Sb -1.486 -1.928 1.495
Sb 1.926 0.147 2.105
S -1.036 0.292 4.804
In 0.000 0.000 0.000
I -1.475 2.072 1.205
CELL_PARAMETERS angstrom
-2.973 -3.855 2.990
3.851 0.295 4.209
-2.950 4.144 2.410
```

---

No. 7
Entry from the Alexandria database: an optimized crystal structure of InSbSI2 (GGA-PBE). Values from VASP.

Raw formation energy: 0.261 eV per atom
Symmetry: No. 123

Structure (Quantum ESPRESSO input):
```
&SYSTEM
  ibrav = 0, nat = 5, ntyp = 4
/
ATOMIC_SPECIES
I 126.90 I.upf
Sb 121.76 Sb.upf
S 32.06 S.upf
In 114.82 In.upf
ATOMIC_POSITIONS angstrom
I 2.888 0.000 0.000
I 0.000 2.888 0.000
Sb 0.000 0.000 2.622
S 0.000 0.000 0.000
In 2.888 2.888 2.622
CELL_PARAMETERS angstrom
5.776 0.000 0.000
0.000 5.776 0.000
0.000 0.000 5.245
```

---

No. 8
Entry from the Alexandria database: an optimized crystal structure of InSnS2I (GGA-PBE). Values from VASP.

Raw formation energy: -0.480 eV per atom
Symmetry: No. 11

Structure (Quantum ESPRESSO input):
```
&SYSTEM
  ibrav = 0, nat = 10, ntyp = 4
/
ATOMIC_SPECIES
S 32.06 S.upf
I 126.90 I.upf
Sn 118.71 Sn.upf
In 114.82 In.upf
ATOMIC_POSITIONS angstrom
S 1.052 3.475 1.257
S 3.155 2.601 8.644
S 1.052 1.495 5.096
S 3.155 4.581 4.805
I 3.155 7.186 1.789
I 1.052 -1.110 8.111
Sn 3.155 0.234 10.116
Sn 1.052 5.841 -0.216
In 1.052 3.648 3.678
In 3.155 2.428 6.223
CELL_PARAMETERS angstrom
4.206 0.000 0.000
0.000 7.840 -0.298
0.000 -1.764 10.198
```

---

Question: Which of these has the highest raw formation energy?
Answer: number 6

---

Question: Number 6 is which compound?
Answer: InSb2SI

---

Question: Which value of raw formation energy does entry 3 give?
Answer: -0.085 eV per atom

---

Question: Among the records above, which one has the lowest raw formation energy?
Answer: InSI